1.
Material: Ac2ZnNiN
Method: DFT, PBE
State: optimized geometry

total magnetic moment: 0.00 μB per atom
formation energy from raw total energies: -0.535 eV per atom
DFT total energy: -52.55 eV per cell

POSCAR file:
```
Ac2ZnNiN
1.0
6.9767 0.0000 0.0000
0.0000 4.0800 0.0000
-2.9367 0.0000 8.1624
Ac Zn Ni N
4 2 2 2
Direct
0.2140 0.2500 0.3915
0.2145 0.2500 0.9640
0.7855 0.7500 0.0360
0.7860 0.7500 0.6085
0.3361 0.7500 0.7084
0.6639 0.2500 0.2916
0.4605 0.7500 0.2468
0.5395 0.2500 0.7532
0.1676 0.7500 0.1724
0.8324 0.2500 0.8276
```

---

2.
Material: CePmSe3
Method: DFT, PBE
State: optimized geometry

total magnetic moment: 0.19 μB per atom
formation energy from raw total energies: -1.814 eV per atom
E above lowest polymorph: 54.4 meV/atom
DFT total energy: -60.42 eV per cell

POSCAR file:
```
CePmSe3
1.0
4.1625 0.0000 0.0000
0.0000 7.2127 0.0000
0.0000 0.0000 9.1824
Ce Pm Se
2 2 6
Direct
0.2500 0.2500 0.1531
0.7500 0.7500 0.8469
0.2500 0.7500 0.3992
0.7500 0.2500 0.6008
0.2500 0.5228 0.6726
0.2500 0.7500 0.0650
0.2500 0.9772 0.6726
0.7500 0.0228 0.3274
0.7500 0.2500 0.9350
0.7500 0.4772 0.3274
```

---

3.
Material: Co2PBr
Method: DFT, PBE
State: optimized geometry

total magnetic moment: 0.00 μB per atom
formation energy from raw total energies: 0.111 eV per atom
E above lowest polymorph: 315.3 meV/atom
DFT total energy: -41.70 eV per cell

POSCAR file:
```
Co2PBr
1.0
-2.5367 2.5367 5.4260
2.5367 -2.5367 5.4260
2.5367 2.5367 -5.4260
Co P Br
4 2 2
Direct
0.0778 0.6250 0.9528
0.3750 0.3278 0.4528
0.6722 0.1250 0.0472
0.8750 0.9222 0.5472
0.0000 0.0000 0.0000
0.7500 0.2500 0.5000
0.2500 0.7500 0.5000
0.5000 0.5000 0.0000
```

---

4.
Material: K3Pu2HfS6
Method: DFT, PBE
State: optimized geometry

total magnetic moment: 0.92 μB per atom
formation energy from raw total energies: -1.565 eV per atom
DFT total energy: -85.46 eV per cell

POSCAR file:
```
K3Pu2HfS6
1.0
3.4705 -6.0115 0.0000
3.4705 6.0115 0.0000
-2.3219 0.0000 7.3443
K Pu Hf S
3 2 1 6
Direct
0.0000 0.0000 0.0000
0.3307 0.6693 0.0000
0.6693 0.3307 0.0000
0.1665 0.8335 0.5000
0.8335 0.1665 0.5000
0.5000 0.5000 0.5000
0.1216 0.4337 0.3011
0.2548 0.2548 0.6990
0.4337 0.1216 0.3011
0.5663 0.8784 0.6989
0.7452 0.7452 0.3010
0.8784 0.5663 0.6989
```

---

5.
Material: Ag2WN
Method: DFT, PBE
State: optimized geometry

total magnetic moment: 0.25 μB per atom
formation energy from raw total energies: 0.928 eV per atom
E above lowest polymorph: 0.0 meV/atom
DFT total energy: -46.54 eV per cell

POSCAR file:
```
Ag2WN
1.0
-4.2254 4.2254 1.9566
4.2254 -4.2254 1.9566
4.2254 4.2254 -1.9566
Ag W N
4 2 2
Direct
0.0139 0.6250 0.8889
0.3750 0.2639 0.3889
0.7361 0.1250 0.1111
0.8750 0.9861 0.6111
0.2500 0.7500 0.5000
0.5000 0.5000 0.0000
0.0000 0.0000 0.0000
0.7500 0.2500 0.5000
```

---

6.
Material: Ho4ErRu5
Method: DFT, PBE
State: optimized geometry

total magnetic moment: 0.00 μB per atom
DFT total energy: -72.83 eV per cell

POSCAR file:
```
Ho4ErRu5
1.0
3.3840 0.0000 0.0000
0.0000 3.3840 0.0000
0.0000 0.0000 16.8813
Ho Er Ru
4 1 5
Direct
0.0000 0.0000 0.1002
0.0000 0.0000 0.3005
0.0000 0.0000 0.6995
0.0000 0.0000 0.8998
0.0000 0.0000 0.5000
0.5000 0.5000 0.0000
0.5000 0.5000 0.2003
0.5000 0.5000 0.4006
0.5000 0.5000 0.5994
0.5000 0.5000 0.7997
```

---

7.
Material: Sr3SnBi
Method: DFT, PBE
State: optimized geometry

total magnetic moment: 0.00 μB per atom
E above lowest polymorph: 0.0 meV/atom
DFT total energy: -32.44 eV per cell

POSCAR file:
```
Sr3SnBi
1.0
9.0984 -2.3237 0.0000
9.0984 2.3237 0.0000
-0.7502 0.0000 9.4668
Sr Sn Bi
6 2 2
Direct
0.0493 0.0493 0.1785
0.2384 0.2384 0.8177
0.3969 0.3969 0.4182
0.6031 0.6031 0.5818
0.7616 0.7616 0.1823
0.9507 0.9507 0.8215
0.2042 0.2042 0.4350
0.7958 0.7958 0.5650
0.3911 0.3911 0.0647
0.6089 0.6089 0.9353
```

---

8.
Material: V3Cr3Re
Method: DFT, PBE
State: optimized geometry

total magnetic moment: 0.00 μB per atom
DFT total energy: -134.41 eV per cell

POSCAR file:
```
V3Cr3Re
1.0
4.0327 -4.1573 0.0000
4.0327 4.1573 0.0000
0.0000 0.0000 5.6653
V Cr Re
6 6 2
Direct
0.2223 0.7777 0.0000
0.2610 0.7390 0.5000
0.2616 0.2616 0.0000
0.7384 0.7384 0.0000
0.7390 0.2610 0.5000
0.7777 0.2223 0.0000
0.0000 0.5000 0.2479
0.0000 0.5000 0.7521
0.5000 0.0000 0.2479
0.5000 0.0000 0.7521
0.5000 0.5000 0.2498
0.5000 0.5000 0.7502
0.2189 0.2189 0.5000
0.7811 0.7811 0.5000
```

---

9.
Material: CoAg2Te
Method: DFT, PBE
State: optimized geometry

total magnetic moment: 0.29 μB per atom
formation energy from raw total energies: 0.348 eV per atom
DFT total energy: -14.56 eV per cell

POSCAR file:
```
CoAg2Te
1.0
-1.9510 1.9510 4.7499
1.9510 -1.9510 4.7499
1.9510 1.9510 -4.7499
Co Ag Te
1 2 1
Direct
0.0000 0.0000 0.0000
0.2500 0.7500 0.5000
0.7500 0.2500 0.5000
0.5000 0.5000 0.0000
```

---

10.
Material: KIn2As2
Method: DFT, PBE
State: optimized geometry

total magnetic moment: 0.00 μB per atom
DFT total energy: -17.19 eV per cell

POSCAR file:
```
KIn2As2
1.0
-2.3653 2.3653 6.9395
2.3653 -2.3653 6.9395
2.3653 2.3653 -6.9395
K In As
1 2 2
Direct
0.0000 0.0000 0.0000
0.2500 0.7500 0.5000
0.7500 0.2500 0.5000
0.3619 0.3619 0.0000
0.6381 0.6381 0.0000
```

---

11.
Material: Pr2Sm5Dy4
Method: DFT, PBE
State: optimized geometry

total magnetic moment: 0.00 μB per atom
E above lowest polymorph: 0.0 meV/atom
DFT total energy: -51.37 eV per cell

POSCAR file:
```
Pr2Sm5Dy4
1.0
11.8476 -1.8067 0.0000
11.8476 1.8067 0.0000
-2.2055 0.0000 8.5766
Pr Sm Dy
2 5 4
Direct
0.0900 0.0900 0.2251
0.9100 0.9100 0.7749
0.0000 0.0000 0.5000
0.2726 0.2726 0.6852
0.3633 0.3633 0.4060
0.6367 0.6367 0.5940
0.7274 0.7274 0.3148
0.1822 0.1822 0.9542
0.4531 0.4531 0.1367
0.5469 0.5469 0.8633
0.8178 0.8178 0.0458
```

---

12.
Material: HfNbSb2Se
Method: DFT, PBE
State: optimized geometry

total magnetic moment: 0.00 μB per atom
formation energy from raw total energies: 0.539 eV per atom
DFT total energy: -29.06 eV per cell

POSCAR file:
```
HfNbSb2Se
1.0
5.4367 0.0000 0.0000
0.0000 5.4367 0.0000
0.0000 0.0000 4.7759
Hf Nb Sb Se
1 1 2 1
Direct
0.0000 0.0000 0.0000
0.5000 0.5000 0.5000
0.0000 0.5000 0.5000
0.5000 0.0000 0.5000
0.5000 0.5000 0.0000
```

---

13.
Material: Cs5Hg5Pt2
Method: DFT, PBE
State: optimized geometry

total magnetic moment: 0.00 μB per atom
DFT total energy: -20.50 eV per cell

POSCAR file:
```
Cs5Hg5Pt2
1.0
9.5034 -2.4526 0.0000
9.5034 2.4526 0.0000
-8.6451 0.0000 11.1595
Cs Hg Pt
5 5 2
Direct
0.0000 0.0000 0.0000
0.3042 0.3042 0.4276
0.3843 0.3843 0.1788
0.6157 0.6157 0.8212
0.6958 0.6958 0.5724
0.0000 0.0000 0.5000
0.0695 0.0695 0.3087
0.3001 0.3001 0.8373
0.6999 0.6999 0.1627
0.9305 0.9305 0.6913
0.3864 0.3864 0.7370
0.6136 0.6136 0.2630
```

---

14.
Material: Ac4TlSiN
Method: DFT, PBE
State: optimized geometry

total magnetic moment: 0.00 μB per atom
formation energy from raw total energies: -0.555 eV per atom
DFT total energy: -72.87 eV per cell

POSCAR file:
```
Ac4TlSiN
1.0
3.6058 -8.7850 0.0000
3.6058 8.7850 0.0000
0.0000 0.0000 7.2487
Ac Tl Si N
8 2 2 2
Direct
0.0000 0.5000 0.0000
0.0000 0.5000 0.5000
0.0613 0.9387 0.7500
0.4180 0.5820 0.7500
0.5000 0.0000 0.0000
0.5000 0.0000 0.5000
0.5820 0.4180 0.2500
0.9387 0.0613 0.2500
0.3891 0.6109 0.2500
0.6109 0.3891 0.7500
0.1174 0.8826 0.2500
0.8826 0.1174 0.7500
0.2757 0.7243 0.7500
0.7243 0.2757 0.2500
```

---

15.
Material: Ta2CdBiMo
Method: DFT, PBE
State: optimized geometry

total magnetic moment: 0.40 μB per atom
DFT total energy: -27.18 eV per cell

POSCAR file:
```
Ta2CdBiMo
1.0
5.1919 0.0000 0.0000
0.0000 5.1919 0.0000
0.0000 0.0000 5.2207
Ta Cd Bi Mo
2 1 1 1
Direct
0.0000 0.5000 0.0000
0.5000 0.0000 0.0000
0.0000 0.0000 0.5000
0.0000 0.0000 0.0000
0.5000 0.5000 0.5000
```